[1]
Material: Nd2GaAs
Method: DFT, PBE
State: relaxed

Output
E_form (eV per atom): -1.040
Mass density (Mg/m³): 6.51
Excess energy over the best structure of this formula in the dataset (eV per atom): 0.0000

Geometry as CIF:
```
data_Nd2GaAs
_space_group_name_H-M_alt 'C m c m'
_space_group_IT_number 63
_space_group_name_Hall '-C 2c 2'
_cell_length_a 4.3427
_cell_length_b 24.0717
_cell_length_c 4.2250
_cell_angle_alpha 90.00
_cell_angle_beta 90.00
_cell_angle_gamma 90.00
loop_
_atom_site_label
_atom_site_type_symbol
_atom_site_fract_x
_atom_site_fract_y
_atom_site_fract_z
Nd1 Nd 0.0000 0.0668 0.2500
Nd2 Nd 0.0000 0.3120 0.2500
Ga1 Ga 0.0000 0.4655 0.2500
As1 As 0.0000 0.1885 0.2500
```



[2]
Material: NdGaAs2
Method: DFT, PBE
State: relaxed

Output
E_form (eV per atom): 0.052
Mass density (Mg/m³): 5.87

Geometry as CIF:
```
data_NdGaAs2
_space_group_name_H-M_alt 'R -3 m'
_space_group_IT_number 166
_space_group_name_Hall '-R 3 2"'
_cell_length_a 3.6125
_cell_length_b 3.6125
_cell_length_c 27.3172
_cell_angle_alpha 90.00
_cell_angle_beta 90.00
_cell_angle_gamma 120.00
loop_
_atom_site_label
_atom_site_type_symbol
_atom_site_fract_x
_atom_site_fract_y
_atom_site_fract_z
Nd1 Nd 0.0000 0.0000 0.0000
Ga1 Ga 0.0000 0.0000 0.5000
As1 As 0.0000 0.0000 0.1084
```



[3]
Material: Nd2GaNi4As3
Method: DFT, PBE
State: relaxed

Output
E_form (eV per atom): -0.808
Mass density (Mg/m³): 8.12

Geometry as CIF:
```
data_Nd2GaNi4As3
_space_group_name_H-M_alt 'P -4 m 2'
_space_group_IT_number 115
_space_group_name_Hall 'P -4 -2'
_cell_length_a 4.1214
_cell_length_b 4.1214
_cell_length_c 9.8437
_cell_angle_alpha 90.00
_cell_angle_beta 90.00
_cell_angle_gamma 90.00
loop_
_atom_site_label
_atom_site_type_symbol
_atom_site_fract_x
_atom_site_fract_y
_atom_site_fract_z
Nd1 Nd 0.0000 0.5000 0.2450
Ga1 Ga 0.0000 0.0000 0.5000
Ni1 Ni 0.0000 0.0000 0.0000
Ni2 Ni 0.0000 0.5000 0.6279
Ni3 Ni 0.5000 0.5000 0.0000
As1 As 0.0000 0.5000 0.8690
As2 As 0.5000 0.5000 0.5000
```



[4]
Material: Nd2GaAs3Pd4
Method: DFT, PBE
State: relaxed

Output
E_form (eV per atom): -0.891
Mass density (Mg/m³): 8.65

Geometry as CIF:
```
data_Nd2GaAs3Pd4
_space_group_name_H-M_alt 'P -4 m 2'
_space_group_IT_number 115
_space_group_name_Hall 'P -4 -2'
_cell_length_a 4.2602
_cell_length_b 4.2602
_cell_length_c 10.6699
_cell_angle_alpha 90.00
_cell_angle_beta 90.00
_cell_angle_gamma 90.00
loop_
_atom_site_label
_atom_site_type_symbol
_atom_site_fract_x
_atom_site_fract_y
_atom_site_fract_z
Nd1 Nd 0.0000 0.5000 0.2408
Ga1 Ga 0.0000 0.0000 0.5000
As1 As 0.0000 0.5000 0.8631
As2 As 0.5000 0.5000 0.5000
Pd1 Pd 0.0000 0.0000 0.0000
Pd2 Pd 0.0000 0.5000 0.6328
Pd3 Pd 0.5000 0.5000 0.0000
```